A plane-wave DFT calculation with PBE-GGA was carried out for an optimized crystal structure of ScTa3I.

Computed properties:
ΔE to the lowest computed polymorph, eV per atom: 0.000
E, eV/atom: -6.970
Energy relative to the elements, uncorrected, eV per atom: 1.7179

Cell and atoms, written as CIF:
```
data_ScTa3I
_cell_length_a 4.996
_cell_length_b 4.996
_cell_length_c 4.996
_cell_angle_alpha 90.00
_cell_angle_beta 90.00
_cell_angle_gamma 90.00
_symmetry_space_group_name_H-M 'P m -3 m'
_symmetry_Int_Tables_number 221
_symmetry_space_group_name_Hall '-P 4 2 3'
loop_
_atom_site_label
_atom_site_type_symbol
_atom_site_fract_x
_atom_site_fract_y
_atom_site_fract_z
Sc1 Sc 0.000 0.000 0.000
Ta1 Ta 0.000 0.500 0.500
I1 I 0.500 0.500 0.500
```

A plane-wave DFT calculation with PBE-GGA was carried out for an optimized crystal structure of CuSbSe2.

Computed properties:
E, eV/atom: -3.910
Energy relative to the elements, uncorrected, eV per atom: -0.1131

Cell and atoms, written as CIF:
```
data_CuSbSe2
_cell_length_a 6.914
_cell_length_b 3.980
_cell_length_c 6.726
_cell_angle_alpha 90.00
_cell_angle_beta 110.27
_cell_angle_gamma 90.00
_symmetry_space_group_name_H-M 'C 1 2/m 1'
_symmetry_Int_Tables_number 12
loop_
_symmetry_equiv_pos_as_xyz
'x,y,z'
'-x,-y,-z'
'-x,y,-z'
'x,-y,z'
'x+1/2,y+1/2,z'
'-x+1/2,-y+1/2,-z'
'-x+1/2,y+1/2,-z'
'x+1/2,-y+1/2,z'
loop_
_atom_site_label
_atom_site_type_symbol
_atom_site_fract_x
_atom_site_fract_y
_atom_site_fract_z
Cu1 Cu 0.000 0.000 0.000
Sb1 Sb 0.000 0.500 0.500
Se1 Se 0.238 0.500 0.218
```